No. 1
{"formula": "BeCoPRh2", "functional": "PBE", "state": "relaxed", "lattice": [[4.082, 0.000, 0.000], [0.000, 3.940, 0.000], [0.000, 0.000, 4.082]], "species": ["Co", "Rh", "Rh", "Be", "P"], "frac_coords": [[0.000, 0.500, 0.000], [0.000, 0.000, 0.500], [0.500, 0.000, 0.000], [0.000, 0.000, 0.000], [0.500, 0.500, 0.500]], "mass_density_g_cm3": 7.71, "magnetic_moment_mub_per_fu": 2.07, "crystal_system": "tetragonal", "n_ef_per_ev_cell": 3.9, "formation_enthalpy_0k_ev_per_fu": 1.9, "dft_energy_ev_per_cell": -29.1}

***

No. 2
{"formula": "Be2CoPRh", "functional": "PBE", "state": "relaxed", "lattice": [[-0.494, -3.814, 1.081], [3.059, -1.067, -2.370], [2.539, 0.532, 3.038]], "species": ["Co", "Rh", "Be", "Be", "P"], "frac_coords": [[0.000, 0.500, 0.000], [0.500, 0.500, 0.500], [0.000, 0.000, 0.500], [0.500, 0.000, 0.000], [0.000, 0.000, 0.000]], "mass_density_g_cm3": 5.47, "magnetic_moment_mub_per_fu": 0.70, "crystal_system": "tetragonal", "e_above_lowest_polymorph_ev_per_atom": 0.000, "n_ef_per_ev_cell": 3.2, "formation_enthalpy_0k_ev_per_fu": 2.1, "dft_energy_ev_per_cell": -25.2}

***

No. 3
{"formula": "Be2CoPRh", "functional": "PBE", "state": "relaxed", "lattice": [[4.057, 0.000, 0.000], [0.000, 4.637, 0.000], [0.000, 0.000, 4.057]], "species": ["Co", "Rh", "Be", "Be", "P"], "frac_coords": [[0.000, 0.500, 0.000], [0.000, 0.000, 0.000], [0.000, 0.000, 0.500], [0.500, 0.000, 0.000], [0.500, 0.500, 0.500]], "mass_density_g_cm3": 4.59, "magnetic_moment_mub_per_fu": 1.79, "crystal_system": "tetragonal", "e_above_lowest_polymorph_ev_per_atom": 0.457, "n_ef_per_ev_cell": 3.8, "formation_enthalpy_0k_ev_per_fu": 4.4, "dft_energy_ev_per_cell": -22.9}

***

No. 4
{"formula": "BeCoPS2", "functional": "PBE", "state": "relaxed", "lattice": [[-3.864, -1.775, -1.737], [1.504, -4.229, 0.975], [-1.748, 0.223, 3.660]], "species": ["P", "S", "S", "Co", "Be"], "frac_coords": [[0.000, 0.000, 0.500], [0.000, 0.500, 0.000], [0.500, 0.000, 0.000], [0.000, 0.000, 0.000], [0.500, 0.500, 0.500]], "mass_density_g_cm3": 3.16, "formation_energy_uncorrected_ev_per_atom": 0.770, "magnetic_moment_mub_per_fu": 0.00, "crystal_system": "tetragonal", "e_above_lowest_polymorph_ev_per_atom": 0.000, "n_ef_per_ev_cell": 3.6, "dft_energy_ev_per_cell": -20.6}